{"formula": "TaB2Rh", "functional": "PBE", "state": "optimized geometry", "ef_kj_per_mol_fu": 86, "mass_density_g_cm3": 11.5, "dos_at_fermi_per_ev_cell": 6.617, "sg": "Fm-3m", "cell": [[3.240, -2.240, 0.504], [-0.250, -3.951, -0.312], [1.635, -1.853, -3.108]], "species": ["Ta", "Rh", "B", "B"], "fractional_positions": [[0.500, 0.500, 0.500], [0.000, 0.000, 0.000], [0.250, 0.250, 0.250], [0.750, 0.750, 0.750]]}

=====

{"formula": "TaB2Rh2", "functional": "PBE", "state": "optimized geometry", "ef_kj_per_mol_fu": -73, "mass_density_g_cm3": 11.7, "dos_at_fermi_per_ev_cell": 6.888, "sg": "P4/mbm", "cell": [[-4.664, 4.438, 0.793], [-4.134, -4.666, 1.796], [0.762, 0.333, 2.619]], "species": ["Rh", "Rh", "Rh", "Rh", "B", "B", "B", "B", "Ta", "Ta"], "fractional_positions": [[0.852, 0.352, 0.500], [0.352, 0.148, 0.500], [0.648, 0.852, 0.500], [0.148, 0.648, 0.500], [0.152, 0.348, 0.000], [0.848, 0.652, 0.000], [0.348, 0.848, 0.000], [0.652, 0.152, 0.000], [0.500, 0.500, 0.000], [0.000, 0.000, 0.000]]}

=====

{"formula": "TaB2Rh", "functional": "PBE", "state": "optimized geometry", "ef_kj_per_mol_fu": 169, "mass_density_g_cm3": 9.2, "dos_at_fermi_per_ev_cell": 3.131, "sg": "I-42d", "cell": [[-1.756, -3.820, 1.150], [3.589, -0.964, 2.276], [-1.400, 0.089, 6.418]], "species": ["Rh", "Rh", "Ta", "Ta", "B", "B", "B", "B"], "fractional_positions": [[0.500, 0.500, 0.000], [0.250, 0.750, 0.500], [0.750, 0.250, 0.500], [0.000, 0.000, 0.000], [0.184, 0.625, 0.250], [0.375, 0.434, 0.750], [0.875, 0.816, 0.750], [0.566, 0.125, 0.250]]}

=====

{"formula": "Ta2BRh", "functional": "PBE", "state": "optimized geometry", "ef_kj_per_mol_fu": 54, "mass_density_g_cm3": 13.2, "dos_at_fermi_per_ev_cell": 4.566, "sg": "I-42d", "cell": [[-4.674, 4.484, -1.649], [-0.367, -2.638, -6.131], [-4.436, -0.764, -3.050]], "species": ["Rh", "Rh", "Ta", "Ta", "Ta", "Ta", "B", "B"], "fractional_positions": [[0.000, 0.000, 0.000], [0.750, 0.250, 0.500], [0.375, 0.423, 0.750], [0.875, 0.827, 0.750], [0.173, 0.625, 0.250], [0.577, 0.125, 0.250], [0.500, 0.500, 0.000], [0.250, 0.750, 0.500]]}